A plane-wave DFT calculation with meta-GGA SCAN was carried out for a crystal of Hg2RuSe relaxed with PBEsol.

a = 3.6310 Å, b = 3.6310 Å, c = 5.6299 Å
α = 90.00°, β = 90.00°, γ = 90.00°
With the nearest neighbours (Å) after each atom.
Atoms (fractional coordinates):
Hg 0.0000 0.0000 0.7574  2 Hg 2.73-2.90, 4 Ru 2.91, 4 Se 2.95
Hg 0.0000 0.0000 0.2426  2 Hg 2.73-2.90, 4 Ru 2.91, 4 Se 2.95
Ru 0.5000 0.5000 0.0000  2 Se 2.81, 8 Hg 2.91
Se 0.5000 0.5000 0.5000  2 Ru 2.81, 8 Hg 2.95

- E_form (uncorrected): 2.447 eV/f.u.

=====

A plane-wave DFT calculation with meta-GGA SCAN was carried out for a crystal of SiHgRu2 relaxed with PBEsol.

a = 2.7780 Å, b = 3.5895 Å, c = 6.1890 Å
α = 90.00°, β = 90.00°, γ = 90.00°
With the nearest neighbours (Å) after each atom.
Atoms (fractional coordinates):
Hg 0.5000 0.5000 0.7608  2 Hg 2.78, 5 Ru 2.83-2.97, 4 Si 3.08
Ru 0.0000 0.0000 0.0351  1 Si 2.40
Ru 0.5000 0.5000 0.2808  4 Si 2.43
Si 0.0000 0.0000 0.4233  5 Ru 2.40-2.43

- Offset from the most stable computed form: 0.00 eV per formula unit
- E_form (uncorrected): 1.078 eV/f.u.

=====

A plane-wave DFT calculation with meta-GGA SCAN was carried out for a crystal of SiHgRu2 relaxed with PBEsol.

a = 2.8317 Å, b = 2.8317 Å, c = 8.8593 Å
α = 80.80°, β = 80.80°, γ = 60.00°
With the nearest neighbours (Å) after each atom.
Atoms (fractional coordinates):
Hg 0.2501 0.2501 0.2497  6 Hg 2.83, 3 Ru 2.89, 3 Si 2.95
Ru 0.0081 0.0081 0.9757  9 Ru 2.61-2.83, 3 Hg 2.89
Ru 0.7524 0.7524 0.7427  3 Si 2.46, 3 Ru 2.61
Si 0.4894 0.4894 0.5319  3 Ru 2.46

- Offset from the most stable computed form: 0.08 eV per formula unit
- E_form (uncorrected): 1.158 eV/f.u.

=====

A plane-wave DFT calculation with meta-GGA SCAN was carried out for a crystal of SiHgRu2 relaxed with PBEsol.

a = 2.7901 Å, b = 2.7901 Å, c = 8.0096 Å
α = 90.00°, β = 90.00°, γ = 90.00°
With the nearest neighbours (Å) after each atom.
Atoms (fractional coordinates):
Hg 0.5000 0.5000 0.7689  4 Hg 2.79, 4 Ru 2.91
Ru 0.0000 0.0000 0.0364  8 Ru 2.59-2.79
Ru 0.5000 0.5000 0.2455  4 Si 2.56, 8 Ru 2.59-2.79
Si 0.0000 0.0000 0.4492  4 Ru 2.56, 4 Si 2.79

- Offset from the most stable computed form: 0.01 eV per formula unit
- E_form (uncorrected): 1.086 eV/f.u.